## ZrMnTlF6 (PBE with a Hubbard U)

Data for ZrMnTlF6 after structural relaxation.

POSCAR file:
```
ZrMnTlF6
1.0
5.9837 0.0000 0.0000
-2.9918 5.1820 0.0000
0.0000 0.0000 11.4636
Zr Mn Tl F
2 2 2 12
direct
0.6667 0.3333 0.2500
0.3333 0.6667 0.7500
0.3333 0.6667 0.2500
0.6667 0.3333 0.7500
0.0000 0.0000 0.0000
0.0000 0.0000 0.5000
0.6311 0.6283 0.1610
0.9972 0.3689 0.1610
0.3689 0.9972 0.6610
0.0028 0.6311 0.8390
0.3717 0.3689 0.3390
0.9972 0.6283 0.3390
0.6283 0.9972 0.8390
0.6311 0.0028 0.3390
0.0028 0.3717 0.6610
0.3717 0.0028 0.1610
0.6283 0.6311 0.6610
0.3689 0.3717 0.8390
```

Output
The total energy comes out at -54.4 eV/f.u.